This record from Alexandria via LeMat-Bulk describes a relaxed NaLiSn crystal. The functional is GGA-PBE.

Output
**Energy of formation from the pure elements**: -235.1 meV per atom
**SG**: P3m1 (156)
**Size of the total moment**: 0.00 μB per cell
**E above lowest polymorph**: 0 meV per atom
**Calculated volume**: 69.8 Å³ per cell
**D(E_F)**: 0.606 states/eV/f.u.

Unit cell a=4.997 b=4.997 c=3.228 alpha=90.00 beta=90.00 gamma=120.00
Fractional positions:
Na 0.000 0.000 0.000
Li 0.667 0.333 0.781
Sn 0.333 0.667 0.432